[1]
The following is a DFT calculation (PBE) of crystalline LiCe2BPt6 at its relaxed geometry.

## Properties
formation enthalpy at 0 K = -0.787 eV per atom
theoretical density = 13.489 g/cm3

Cell lengths 5.617, 8.689, 7.408 Å; angles 90.00, 90.00, 90.00 degrees
Atoms (fractional coordinates):
1 Li 0.250 0.250 0.188
2 Li 0.750 0.750 0.812
3 Ce 0.250 0.530 0.784
4 Ce 0.250 0.970 0.784
5 Ce 0.750 0.030 0.216
6 Ce 0.750 0.470 0.216
7 B 0.250 0.750 0.301
8 B 0.750 0.250 0.699
9 Pt 0.003 0.750 0.086
10 Pt 0.008 0.250 0.484
11 Pt 0.250 0.504 0.367
12 Pt 0.250 0.996 0.367
13 Pt 0.492 0.250 0.484
14 Pt 0.497 0.750 0.086
15 Pt 0.503 0.250 0.914
16 Pt 0.508 0.750 0.516
17 Pt 0.750 0.004 0.633
18 Pt 0.750 0.496 0.633
19 Pt 0.992 0.750 0.516
20 Pt 0.997 0.250 0.914



[2]
The following is a DFT calculation (PBE) of crystalline HfTe2I2 at its relaxed geometry.

## Properties
E_form (uncorrected) = 0.11 eV/atom
E above lowest polymorph = 763.1 meV per atom
theoretical density = 6.141 g/cm3

Cell lengths 12.112, 12.112, 12.112 Å; angles 161.12, 161.12, 26.82 degrees
Atoms (fractional coordinates):
1 Hf 0.000 0.000 0.000
2 Te 0.250 0.750 0.500
3 Te 0.750 0.250 0.500
4 I 0.427 0.427 0.000
5 I 0.573 0.573 0.000



[3]
The following is a DFT calculation (PBE) of crystalline ThTc6 at its relaxed geometry.

## Properties
E above lowest polymorph = 802.3 meV per atom
formation enthalpy at 0 K = 0.813 eV per atom
theoretical density = 8.840 g/cm3

Cell lengths 5.849, 5.849, 5.849 Å; angles 109.47, 109.47, 109.47 degrees
Atoms (fractional coordinates):
1 Th 0.000 0.000 0.000
2 Tc 0.250 0.500 0.750
3 Tc 0.250 0.750 0.500
4 Tc 0.500 0.250 0.750
5 Tc 0.500 0.750 0.250
6 Tc 0.750 0.250 0.500
7 Tc 0.750 0.500 0.250



[4]
The following is a DFT calculation (PBE) of crystalline Sc6CoIr5 at its relaxed geometry.

## Properties
formation enthalpy at 0 K = -0.923 eV per atom
theoretical density = 10.735 g/cm3

Cell lengths 7.219, 7.219, 6.376 Å; angles 90.00, 90.00, 143.10 degrees
Atoms (fractional coordinates):
1 Sc 0.000 0.000 0.247
2 Sc 0.000 0.000 0.753
3 Sc 0.335 0.665 0.248
4 Sc 0.335 0.665 0.752
5 Sc 0.665 0.335 0.248
6 Sc 0.665 0.335 0.752
7 Co 0.500 0.500 0.000
8 Ir 0.166 0.834 0.000
9 Ir 0.167 0.833 0.500
10 Ir 0.500 0.500 0.500
11 Ir 0.833 0.167 0.500
12 Ir 0.834 0.166 0.000



[5]
The following is a DFT calculation (PBE) of crystalline SO at its relaxed geometry.

## Properties
E_form (uncorrected) = -0.56 eV/atom
E above lowest polymorph = 0.6 meV per atom
theoretical density = 2.240 g/cm3

Cell lengths 5.658, 5.658, 3.363 Å; angles 98.39, 98.39, 134.40 degrees
Atoms (fractional coordinates):
1 S 0.081 0.919 0.500
2 S 0.919 0.081 0.000
3 O 0.533 0.747 0.823
4 O 0.747 0.533 0.323



[6]
The following is a DFT calculation (PBE) of crystalline LaU3Tl2O12 at its relaxed geometry.

## Properties
E_form (uncorrected) = -2.65 eV/atom
theoretical density = 7.667 g/cm3

Cell lengths 7.159, 7.159, 7.159 Å; angles 70.34, 70.34, 70.34 degrees
Atoms (fractional coordinates):
1 La 0.000 0.000 0.000
2 U 0.000 0.000 0.500
3 U 0.000 0.500 0.000
4 U 0.500 0.000 0.000
5 Tl 0.384 0.384 0.384
6 Tl 0.616 0.616 0.616
7 O 0.093 0.755 0.755
8 O 0.147 0.147 0.558
9 O 0.147 0.558 0.147
10 O 0.245 0.245 0.907
11 O 0.245 0.907 0.245
12 O 0.442 0.853 0.853
13 O 0.558 0.147 0.147
14 O 0.755 0.093 0.755
15 O 0.755 0.755 0.093
16 O 0.853 0.442 0.853
17 O 0.853 0.853 0.442
18 O 0.907 0.245 0.245



Please write out number 2 again, unchanged.
The following is a DFT calculation (PBE) of crystalline HfTe2I2 at its relaxed geometry.

## Properties
E_form (uncorrected) = 0.11 eV/atom
E above lowest polymorph = 763.1 meV per atom
theoretical density = 6.141 g/cm3

Cell lengths 12.112, 12.112, 12.112 Å; angles 161.12, 161.12, 26.82 degrees
Atoms (fractional coordinates):
1 Hf 0.000 0.000 0.000
2 Te 0.250 0.750 0.500
3 Te 0.750 0.250 0.500
4 I 0.427 0.427 0.000
5 I 0.573 0.573 0.000



> The highest theoretical density belongs to which entry?

LiCe2BPt6



Please write out number 3 again, unchanged.
The following is a DFT calculation (PBE) of crystalline ThTc6 at its relaxed geometry.

## Properties
E above lowest polymorph = 802.3 meV per atom
formation enthalpy at 0 K = 0.813 eV per atom
theoretical density = 8.840 g/cm3

Cell lengths 5.849, 5.849, 5.849 Å; angles 109.47, 109.47, 109.47 degrees
Atoms (fractional coordinates):
1 Th 0.000 0.000 0.000
2 Tc 0.250 0.500 0.750
3 Tc 0.250 0.750 0.500
4 Tc 0.500 0.250 0.750
5 Tc 0.500 0.750 0.250
6 Tc 0.750 0.250 0.500
7 Tc 0.750 0.500 0.250



Copy entry 4 word for word.
The following is a DFT calculation (PBE) of crystalline Sc6CoIr5 at its relaxed geometry.

## Properties
formation enthalpy at 0 K = -0.923 eV per atom
theoretical density = 10.735 g/cm3

Cell lengths 7.219, 7.219, 6.376 Å; angles 90.00, 90.00, 143.10 degrees
Atoms (fractional coordinates):
1 Sc 0.000 0.000 0.247
2 Sc 0.000 0.000 0.753
3 Sc 0.335 0.665 0.248
4 Sc 0.335 0.665 0.752
5 Sc 0.665 0.335 0.248
6 Sc 0.665 0.335 0.752
7 Co 0.500 0.500 0.000
8 Ir 0.166 0.834 0.000
9 Ir 0.167 0.833 0.500
10 Ir 0.500 0.500 0.500
11 Ir 0.833 0.167 0.500
12 Ir 0.834 0.166 0.000